No. 1
Compound: Ca2As3Pt4Au
Source: Alexandria
Functional: GGA-PBE
Structure: optimized geometry

The crystal system is tetragonal. As for the density of states at the Fermi level: 0.56 states/eV per atom. Its mass density is 10.59 g cm⁻³. The calculation puts the formation energy at -0.642 eV per atom.

The structure belongs to space group P-4m2 (No. 115); the cell edges are 4.4482, 4.4482 and 10.1623 Å and the angles 90.00°, 90.00° and 90.00°. Symmetry generates all atoms from Ca at (0.0000, 0.5000, 0.2456), As at (0.0000, 0.0000, 0.0000), As at (0.0000, 0.5000, 0.6230), Pt at (0.0000, 0.0000, 0.5000), Pt at (0.0000, 0.5000, 0.8574), Pt at (0.5000, 0.5000, 0.5000) and Au at (0.5000, 0.5000, 0.0000).



No. 2
Compound: TiRe2IrN
Source: Alexandria
Functional: GGA-PBE
Structure: optimized geometry

The crystal system is tetragonal. The energy is -0.3673 hartree per atom. As for the density of states at the Fermi level: 0.72 states/eV per atom. Its mass density is 15.32 g cm⁻³.

The structure belongs to space group P4/mmm (No. 123); the cell edges are 4.0613, 4.0613 and 4.1158 Å and the angles 90.00°, 90.00° and 90.00°. Symmetry generates all atoms from Ti at (0.0000, 0.0000, 0.0000), Re at (0.0000, 0.5000, 0.5000), Ir at (0.5000, 0.5000, 0.0000) and N at (0.5000, 0.5000, 0.5000).



No. 3
Compound: CoBC3
Source: Alexandria
Functional: GGA-PBE
Structure: optimized geometry

The crystal system is cubic. As for the density of states at the Fermi level: 0.51 states/eV per atom. Its mass density is 4.50 g cm⁻³. The calculation puts the formation energy at 2.336 eV per atom. The polymorph energy (0 for the lowest one) is 0.0 meV/atom.

The structure belongs to space group Pm-3m (No. 221); the cell edges are 3.3912, 3.3912 and 3.3912 Å and the angles 90.00°, 90.00° and 90.00°. Symmetry generates all atoms from Co at (0.0000, 0.0000, 0.0000), B at (0.5000, 0.5000, 0.5000) and C at (0.0000, 0.5000, 0.5000).